# Ho3ErRu2, optimized geometry, DFT PBE
# **Crystal system**: orthorhombic
# **V**: 23.85 A^3/atom
# **Electronic total energy**: -78.11 eV per cell
# **Calculated formation energy**: -0.368 eV/atom
# **Energy above the most stable polymorph in this dataset**: 0 meV/atom
# **Fermi-level density of states**: 9.64 states/eV per cell
data_Ho3ErRu2
_space_group_name_H-M_alt 'P 1'
_space_group_IT_number 1
_cell_length_a 6.3116
_cell_length_b 6.7339
_cell_length_c 6.7339
_cell_angle_alpha 90.04
_cell_angle_beta 90.00
_cell_angle_gamma 90.00
loop_
_space_group_symop_operation_xyz
'x,y,z'
loop_
_atom_site_label
_atom_site_fract_x
_atom_site_fract_y
_atom_site_fract_z
Ho1 0.2500 0.9315 0.0685
Ho2 0.7500 0.0685 0.9315
Ho3 0.2500 0.0678 0.5683
Ho4 0.7500 0.9322 0.4317
Ho5 0.2500 0.4317 0.9322
Ho6 0.7500 0.5683 0.0678
Er1 0.2500 0.5675 0.4325
Er2 0.7500 0.4325 0.5675
Ru1 0.0000 0.2507 0.2507
Ru2 0.5000 0.7493 0.7493
Ru3 0.0000 0.7493 0.7493
Ru4 0.5000 0.2507 0.2507